! Sr2BeGe PBE relaxed; values from VASP
&SYSTEM
  ibrav = 0, nat = 8, ntyp = 3
/
ATOMIC_SPECIES
Sr 87.62 Sr.upf
Ge 72.64 Ge.upf
Be 9.01 Be.upf
CELL_PARAMETERS angstrom
-1.486 -2.477 4.639
-3.593 -3.042 -2.775
4.213 -9.450 -0.478
ATOMIC_POSITIONS angstrom
Sr -0.323 -4.288 2.428
Sr -1.380 -4.576 -1.269
Sr 1.251 -9.160 0.338
Sr -1.281 -11.913 1.276
Ge 0.000 0.000 0.000
Ge 0.094 -7.343 2.547
Be -2.540 -2.759 0.932
Be -0.960 -7.626 -1.160
! energy relative to the lowest polymorph listed for this composition: 0.611 eV per atom
! E_form: 2.4 eV/f.u.
! space-group type: No. 122
! Fermi-level density of states: 1.754 states/eV per atom

***

! SrBeGe3 PBE relaxed; values from VASP
&SYSTEM
  ibrav = 0, nat = 5, ntyp = 3
/
ATOMIC_SPECIES
Sr 87.62 Sr.upf
Ge 72.64 Ge.upf
Be 9.01 Be.upf
CELL_PARAMETERS angstrom
-1.738 -1.327 -4.176
4.105 -2.064 -1.053
-1.532 -4.025 1.917
ATOMIC_POSITIONS angstrom
Sr 0.418 -3.708 -1.656
Ge 2.053 -1.032 -0.527
Ge -0.766 -2.013 0.959
Ge -0.869 -0.664 -2.088
Be 0.000 0.000 0.000
! energy relative to the lowest polymorph listed for this composition: 0.000 eV per atom
! E_form: 0.2 eV/f.u.
! space-group type: No. 221
! Fermi-level density of states: 0.517 states/eV per atom

***

! Sr2BeGeTe PBE relaxed; values from VASP
&SYSTEM
  ibrav = 0, nat = 5, ntyp = 4
/
ATOMIC_SPECIES
Sr 87.62 Sr.upf
Ge 72.64 Ge.upf
Te 127.60 Te.upf
Be 9.01 Be.upf
CELL_PARAMETERS angstrom
-3.235 -5.124 -0.355
3.433 -2.232 0.929
-1.323 0.425 5.909
ATOMIC_POSITIONS angstrom
Sr -0.661 0.213 2.955
Sr -1.618 -2.562 -0.178
Ge 0.000 0.000 0.000
Te -0.563 -3.465 3.242
Be 1.716 -1.116 0.465
! space-group type: No. 123
! formation energy (no corrections): -0.602 eV per atom
! Fermi-level density of states: 0.013 states/eV per atom

***

! SrBeZnGe2 PBE relaxed; values from VASP
&SYSTEM
  ibrav = 0, nat = 5, ntyp = 4
/
ATOMIC_SPECIES
Sr 87.62 Sr.upf
Ge 72.64 Ge.upf
Zn 65.41 Zn.upf
Be 9.01 Be.upf
CELL_PARAMETERS angstrom
4.494 0.000 0.000
0.000 5.639 0.000
0.000 0.000 4.494
ATOMIC_POSITIONS angstrom
Sr 0.000 2.820 0.000
Ge 0.000 0.000 2.247
Ge 2.247 0.000 0.000
Zn 2.247 2.820 2.247
Be 0.000 0.000 0.000
! E_form: 1.0 eV/f.u.
! space-group type: No. 123
! Fermi-level density of states: 0.409 states/eV per atom

***

! Ta2BeGe PBE relaxed; values from VASP
&SYSTEM
  ibrav = 0, nat = 8, ntyp = 3
/
ATOMIC_SPECIES
Ta 180.95 Ta.upf
Be 9.01 Be.upf
Ge 72.64 Ge.upf
CELL_PARAMETERS angstrom
-0.402 3.358 -0.989
-4.386 -1.184 -2.240
-1.065 1.845 6.699
ATOMIC_POSITIONS angstrom
Ta -1.569 3.091 1.716
Ta -4.283 0.928 1.753
Ta -3.702 0.045 -1.482
Ta -2.151 3.974 4.952
Be -3.484 2.276 -0.273
Be -2.368 1.743 3.743
Ge -1.917 0.813 0.400
Ge -3.936 3.206 3.069
! energy relative to the lowest polymorph listed for this composition: 0.000 eV per atom
! E_form: -1.5 eV/f.u.
! space-group type: No. 11
! Fermi-level density of states: 0.258 states/eV per atom

***

! TaBeGe2 PBE relaxed; values from VASP
&SYSTEM
  ibrav = 0, nat = 8, ntyp = 3
/
ATOMIC_SPECIES
Be 9.01 Be.upf
Ge 72.64 Ge.upf
Ta 180.95 Ta.upf
CELL_PARAMETERS angstrom
6.812 0.000 0.000
0.000 6.812 0.000
3.406 3.406 2.664
ATOMIC_POSITIONS angstrom
Be 3.406 3.406 0.000
Be 3.406 6.812 1.332
Ge 4.778 1.703 0.666
Ge 2.034 5.109 0.666
Ge 5.109 5.439 1.998
Ge 8.515 8.184 1.998
Ta 0.000 0.000 0.000
Ta 6.812 3.406 1.332
! E_form: 1.4 eV/f.u.
! space-group type: No. 122
! Fermi-level density of states: 1.028 states/eV per atom

***

! TaBeGe PBE relaxed; values from VASP
&SYSTEM
  ibrav = 0, nat = 3, ntyp = 3
/
ATOMIC_SPECIES
Be 9.01 Be.upf
Ge 72.64 Ge.upf
Ta 180.95 Ta.upf
CELL_PARAMETERS angstrom
-3.003 1.180 -1.221
-0.860 -3.196 -0.973
0.317 0.410 4.488
ATOMIC_POSITIONS angstrom
Be -3.456 -1.573 2.106
Ge -0.864 -0.320 1.816
Ta -2.287 -1.140 -0.351
! E_form: 0.9 eV/f.u.
! space-group type: No. 107
! Fermi-level density of states: 0.886 states/eV per atom

***

! Ta2BeGe2 PBE relaxed; values from VASP
&SYSTEM
  ibrav = 0, nat = 10, ntyp = 3
/
ATOMIC_SPECIES
Be 9.01 Be.upf
Ge 72.64 Ge.upf
Ta 180.95 Ta.upf
CELL_PARAMETERS angstrom
6.512 0.000 0.000
0.000 6.512 0.000
0.000 0.000 3.696
ATOMIC_POSITIONS angstrom
Be 0.000 0.000 0.000
Be 3.256 3.256 0.000
Ge 2.326 5.582 0.000
Ge 5.582 4.186 0.000
Ge 4.186 0.930 0.000
Ge 0.930 2.326 0.000
Ta 1.049 4.305 1.848
Ta 4.305 5.463 1.848
Ta 5.463 2.207 1.848
Ta 2.207 1.049 1.848
! E_form: 0.4 eV/f.u.
! space-group type: No. 127
! Fermi-level density of states: 0.746 states/eV per atom

***

! Ta2BeGe PBE relaxed; values from VASP
&SYSTEM
  ibrav = 0, nat = 4, ntyp = 3
/
ATOMIC_SPECIES
Be 9.01 Be.upf
Ge 72.64 Ge.upf
Ta 180.95 Ta.upf
CELL_PARAMETERS angstrom
-0.800 -3.899 -1.904
-3.257 -2.565 1.510
-3.654 -0.572 -2.406
ATOMIC_POSITIONS angstrom
Be 0.000 0.000 0.000
Ge -3.855 -3.518 -1.400
Ta -1.928 -1.759 -0.700
Ta -5.783 -5.277 -2.100
! energy relative to the lowest polymorph listed for this composition: 0.573 eV per atom
! E_form: 0.7 eV/f.u.
! space-group type: No. 225
! Fermi-level density of states: 1.008 states/eV per atom

***

! Ta3BeGe2 PBE relaxed; values from VASP
&SYSTEM
  ibrav = 0, nat = 24, ntyp = 3
/
ATOMIC_SPECIES
Ta 180.95 Ta.upf
Be 9.01 Be.upf
Ge 72.64 Ge.upf
CELL_PARAMETERS angstrom
3.627 0.000 0.000
0.000 9.833 0.000
0.000 0.000 10.353
ATOMIC_POSITIONS angstrom
Ta 0.907 3.768 0.502
Ta 2.721 6.065 9.851
Ta 2.721 8.684 4.675
Ta 0.907 1.149 5.679
Ta 0.907 7.088 2.289
Ta 2.721 2.745 8.064
Ta 2.721 2.172 2.888
Ta 0.907 7.661 7.466
Ta 0.907 4.293 3.912
Ta 2.721 5.540 6.442
Ta 2.721 9.209 1.265
Ta 0.907 0.623 9.088
Be 0.907 1.255 1.298
Be 2.721 8.577 9.056
Be 2.721 6.172 3.879
Be 0.907 3.661 6.474
Ge 0.907 6.790 4.975
Ge 2.721 3.043 5.378
Ge 2.721 1.874 0.202
Ge 0.907 7.959 10.152
Ge 0.907 0.050 3.176
Ge 2.721 9.783 7.177
Ge 2.721 4.966 2.000
Ge 0.907 4.866 8.353
! E_form: -1.5 eV/f.u.
! space-group type: No. 62
! Fermi-level density of states: 0.363 states/eV per atom

***

! Ta2BeGe PBE relaxed; values from VASP
&SYSTEM
  ibrav = 0, nat = 8, ntyp = 3
/
ATOMIC_SPECIES
Be 9.01 Be.upf
Ge 72.64 Ge.upf
Ta 180.95 Ta.upf
CELL_PARAMETERS angstrom
3.835 0.000 0.000
0.000 3.835 0.000
1.917 1.917 9.316
ATOMIC_POSITIONS angstrom
Be 1.917 1.917 0.000
Be 1.917 3.835 4.658
Ge 0.000 0.000 0.000
Ge 3.835 1.917 4.658
Ta 2.870 0.959 2.329
Ta 0.964 2.876 2.329
Ta 2.876 2.881 6.987
Ta 4.793 4.788 6.987
! energy relative to the lowest polymorph listed for this composition: 0.902 eV per atom
! E_form: 2.1 eV/f.u.
! space-group type: No. 122
! Fermi-level density of states: 0.291 states/eV per atom

***

! Ta5Be2Ge PBE relaxed; values from VASP
&SYSTEM
  ibrav = 0, nat = 16, ntyp = 3
/
ATOMIC_SPECIES
Ta 180.95 Ta.upf
Be 9.01 Be.upf
Ge 72.64 Ge.upf
CELL_PARAMETERS angstrom
5.838 0.000 -2.756
-1.301 5.692 -2.756
-0.059 -0.074 7.437
ATOMIC_POSITIONS angstrom
Ta 2.132 3.878 1.979
Ta 3.441 5.520 -2.810
Ta 0.000 0.000 0.000
Ta 2.269 2.846 -2.756
Ta 1.037 0.097 4.735
Ta 3.742 1.033 2.904
Ta -0.573 2.943 3.810
Ta 0.736 4.585 -0.979
Ta 5.051 2.674 -1.885
Ta 2.346 1.739 -0.054
Be 0.223 2.150 -1.378
Be 3.474 0.696 -2.052
Be 1.063 4.996 -3.460
Be 4.315 3.542 -4.134
Ge 3.374 4.232 -0.416
Ge 1.105 1.386 2.341
! E_form: -2.3 eV/f.u.
! space-group type: No. 140
! Fermi-level density of states: 0.654 states/eV per atom

***

Which of these has the highest Fermi-level density of states? Sr2BeGe